Record 1
SrIn2MoF8 | Alexandria | PBE+U | optimized geometry; N(E_F) = 0.25 states/eV per atom; total moment = 2.83 Bohr magnetons per cell; uncorrected energy = -5.01 eV/atom; space group = P2/m (10)
1.0
4.9406 0.0000 0.0000
0.0000 7.2939 0.0000
-0.0523 0.0000 5.9679
Sr In Mo F
1 2 1 8
Cartesian
0.0000 0.0000 0.0000 Sr
2.4441 1.9518 2.9839 In
2.4441 5.3421 2.9839 In
0.0000 3.6470 0.0000 Mo
0.6264 2.0303 4.7637 F
0.6264 5.2637 4.7637 F
1.6634 3.6470 1.2374 F
1.8239 0.0000 1.6971 F
3.0644 0.0000 4.2708 F
3.2249 3.6470 4.7305 F
4.2619 2.0303 1.2042 F
4.2619 5.2637 1.2042 F

---

Record 2
TaIn2MoF | Alexandria | PBE+U | optimized geometry; N(E_F) = 0.69 states/eV per atom; total moment = 2.99 Bohr magnetons per cell; uncorrected energy = -5.02 eV/atom; space group = P4/mmm (123)
1.0
5.5660 0.0000 0.0000
0.0000 5.5660 0.0000
0.0000 0.0000 4.0115
Ta In Mo F
1 2 1 1
Cartesian
0.0000 0.0000 0.0000 Ta
0.0000 2.7830 0.0000 In
2.7830 0.0000 0.0000 In
2.7830 2.7830 2.0057 Mo
0.0000 0.0000 2.0057 F

---

The lowest uncorrected energy belongs to which entry? TaIn2MoF

---

Among the records above, which one has the highest uncorrected energy? SrIn2MoF8